Compound: Nd3Ho3Tm4
Source: the Alexandria database
Functional: PBE
Structure: optimized geometry

Results
- Uncorrected energy: -4.4971 eV/atom
- Formation energy: 0.10 eV per atom

Unit cell a=3.657 b=13.276 c=13.343 alpha=90.00 beta=90.00 gamma=90.00
Space group Amm2 (No. 38)
Asymmetric unit:
1 Nd 0.000 0.000 0.000 [2 per cell]
2 Nd 0.000 0.174 0.673 [4 per cell]
3 Ho 0.000 0.000 0.348 [2 per cell]
4 Ho 0.500 0.246 0.422 [4 per cell]
5 Tm 0.500 0.000 0.548 [2 per cell]
6 Tm 0.500 0.000 0.798 [2 per cell]
7 Tm 0.500 0.123 0.176 [4 per cell]

Compound: PrNd5Cd6
Source: the Alexandria database
Functional: PBE
Structure: optimized geometry

Results
- Uncorrected energy: -3.1609 eV/atom
- Formation energy: -0.32 eV per atom

Unit cell a=5.448 b=16.358 c=7.755 alpha=90.00 beta=90.00 gamma=90.00
Space group Cmmm (No. 65)
Asymmetric unit:
1 Pr 0.000 0.000 0.000 [2 per cell]
2 Nd 0.000 0.000 0.500 [2 per cell]
3 Nd 0.000 0.333 0.000 [4 per cell]
4 Nd 0.000 0.334 0.500 [4 per cell]
5 Cd 0.000 0.167 0.251 [8 per cell]
6 Cd 0.000 0.500 0.251 [4 per cell]

Compound: MgSiF3
Source: the Alexandria database
Functional: PBE
Structure: optimized geometry

Results
- Uncorrected energy: -4.5795 eV/atom
- Energy above the most stable polymorph in this dataset: 0.0000 eV/atom
- Formation energy from raw total energies: -2.05 eV per atom

Unit cell a=4.011 b=4.011 c=4.011 alpha=90.00 beta=90.00 gamma=90.00
Space group Pm-3m (No. 221)
Asymmetric unit:
1 Mg 0.000 0.000 0.000 [1 per cell]
2 Si 0.500 0.500 0.500 [1 per cell]
3 F 0.000 0.000 0.500 [3 per cell]

Compound: Li2FeCu
Source: the Alexandria database
Functional: PBE
Structure: optimized geometry

Results
- Uncorrected energy: -3.9449 eV/atom
- Formation energy: 0.15 eV per atom

Unit cell a=2.842 b=4.139 c=9.032 alpha=90.00 beta=90.00 gamma=90.00
Space group Cmm2 (No. 35)
Asymmetric unit:
1 Li 0.000 0.000 0.000 [2 per cell]
2 Li 0.000 0.500 0.286 [2 per cell]
3 Fe 0.000 0.000 0.531 [2 per cell]
4 Cu 0.000 0.500 0.762 [2 per cell]

What is the uncorrected energy in the third record?
-4.5795 eV/atom